Entry 1:
{"formula": "RbMg3Sb", "functional": "PBE-GGA", "state": "relaxed", "e_above_lowest_polymorph_mev_per_atom": 970, "lattice_angstrom": [[-1.4739, 0.8123, -5.8119], [-5.0703, -3.1934, 0.8395], [-2.9547, 5.0747, 1.4586]], "species": ["Mg", "Mg", "Mg", "Rb", "Sb"], "frac_coords": [[0.0000, 0.0000, 0.5000], [0.5000, 0.0000, 0.0000], [0.0000, 0.5000, 0.0000], [0.0000, 0.0000, 0.0000], [0.5000, 0.5000, 0.5000]]}

***

Entry 2:
{"formula": "Rb2MgSb", "functional": "PBE-GGA", "state": "relaxed", "e_above_lowest_polymorph_mev_per_atom": 166, "lattice_angstrom": [[5.0954, 0.0000, 0.0000], [0.0000, 5.0954, 0.0000], [2.5477, 2.5477, 12.7212]], "species": ["Sb", "Sb", "Rb", "Rb", "Rb", "Rb", "Mg", "Mg"], "frac_coords": [[0.7500, 0.2500, 0.5000], [0.0000, 0.0000, 0.0000], [0.3750, 0.3703, 0.7500], [0.1203, 0.6250, 0.2500], [0.8750, 0.8797, 0.7500], [0.6297, 0.1250, 0.2500], [0.2500, 0.7500, 0.5000], [0.5000, 0.5000, 0.0000]]}

***

Entry 3:
{"formula": "Rb2MgSb", "functional": "PBE-GGA", "state": "relaxed", "e_above_lowest_polymorph_mev_per_atom": 0, "lattice_angstrom": [[0.0000, 4.3563, 4.3563], [4.3563, 0.0000, 4.3563], [4.3563, 4.3563, 0.0000]], "species": ["Sb", "Rb", "Rb", "Mg"], "frac_coords": [[0.5000, 0.5000, 0.5000], [0.2500, 0.2500, 0.2500], [0.7500, 0.7500, 0.7500], [0.0000, 0.0000, 0.0000]]}

***

Entry 4:
{"formula": "Rb2MgSb2", "functional": "PBE-GGA", "state": "relaxed", "e_above_lowest_polymorph_mev_per_atom": 0, "lattice_angstrom": [[-3.8753, 1.1958, -6.6362], [-1.6451, -7.5904, -0.4071], [-5.1015, 0.9368, 3.1479]], "species": ["Sb", "Sb", "Sb", "Sb", "Mg", "Mg", "Rb", "Rb", "Rb", "Rb"], "frac_coords": [[0.8652, 0.6348, 0.0000], [0.6348, 0.1348, 0.0000], [0.1348, 0.3652, 0.0000], [0.3652, 0.8652, 0.0000], [0.5000, 0.5000, 0.0000], [0.0000, 0.0000, 0.0000], [0.3331, 0.1669, 0.5000], [0.8331, 0.3331, 0.5000], [0.6669, 0.8331, 0.5000], [0.1669, 0.6669, 0.5000]]}

***

Entry 5:
{"formula": "RbMgSb2", "functional": "PBE-GGA", "state": "relaxed", "lattice_angstrom": [[5.9477, 0.0000, 0.0000], [0.0000, 5.9477, 0.0000], [2.9738, 2.9738, 9.3890]], "species": ["Sb", "Sb", "Sb", "Sb", "Rb", "Rb", "Mg", "Mg"], "frac_coords": [[0.4543, 0.1250, 0.2500], [0.3750, 0.5457, 0.7500], [0.2957, 0.6250, 0.2500], [0.8750, 0.7043, 0.7500], [0.7500, 0.2500, 0.5000], [0.0000, 0.0000, 0.0000], [0.2500, 0.7500, 0.5000], [0.5000, 0.5000, 0.0000]]}

***

Entry 6:
{"formula": "RbMg3Sb", "functional": "PBE-GGA", "state": "relaxed", "e_above_lowest_polymorph_mev_per_atom": 0, "lattice_angstrom": [[5.8223, 0.0000, 0.0000], [0.0000, 5.8223, 0.0000], [0.0000, 0.0000, 5.8223]], "species": ["Mg", "Mg", "Mg", "Sb", "Rb"], "frac_coords": [[0.5000, 0.0000, 0.0000], [0.0000, 0.5000, 0.0000], [0.0000, 0.0000, 0.5000], [0.0000, 0.0000, 0.0000], [0.5000, 0.5000, 0.5000]]}

***

Entry 7:
{"formula": "RbMgSb3", "functional": "PBE-GGA", "state": "relaxed", "e_above_lowest_polymorph_mev_per_atom": 0, "lattice_angstrom": [[5.5701, 0.0000, 0.0000], [0.0000, 5.5701, 0.0000], [0.0000, 0.0000, 5.5701]], "species": ["Sb", "Sb", "Sb", "Mg", "Rb"], "frac_coords": [[0.0000, 0.0000, 0.5000], [0.0000, 0.5000, 0.0000], [0.5000, 0.0000, 0.0000], [0.0000, 0.0000, 0.0000], [0.5000, 0.5000, 0.5000]]}

***

Entry 8:
{"formula": "RbMg4Sb3", "functional": "PBE-GGA", "state": "relaxed", "lattice_angstrom": [[4.6980, 0.0000, 0.8574], [2.2708, 4.1128, 0.8574], [-0.0100, -0.0059, 13.3550]], "species": ["Mg", "Mg", "Mg", "Mg", "Sb", "Sb", "Sb", "Rb"], "frac_coords": [[0.9171, 0.9171, 0.2488], [0.6971, 0.6971, 0.9088], [0.3029, 0.3029, 0.0912], [0.0829, 0.0829, 0.7512], [0.0000, 0.0000, 0.0000], [0.2324, 0.2324, 0.3029], [0.7676, 0.7676, 0.6971], [0.5000, 0.5000, 0.5000]]}

***

Entry 9:
{"formula": "RbMg2Sb", "functional": "PBE-GGA", "state": "relaxed", "lattice_angstrom": [[9.4167, 0.0000, 0.0000], [0.0000, 9.4167, 0.0000], [4.7083, 4.7083, 3.5624]], "species": ["Rb", "Rb", "Mg", "Mg", "Mg", "Mg", "Sb", "Sb"], "frac_coords": [[0.2500, 0.7500, 0.5000], [0.5000, 0.5000, 0.0000], [0.8750, 0.9725, 0.7500], [0.3750, 0.2775, 0.7500], [0.0275, 0.6250, 0.2500], [0.7225, 0.1250, 0.2500], [0.7500, 0.2500, 0.5000], [0.0000, 0.0000, 0.0000]]}

***

Entry 10:
{"formula": "Rb2MgSbSe", "functional": "PBE-GGA", "state": "relaxed", "lattice_angstrom": [[7.1611, 0.0000, 0.0000], [0.0000, 4.7204, 0.0000], [0.0000, 0.0000, 7.1611]], "species": ["Sb", "Rb", "Rb", "Mg", "Se"], "frac_coords": [[0.5000, 0.5000, 0.5000], [0.5000, 0.0000, 0.0000], [0.0000, 0.0000, 0.5000], [0.0000, 0.0000, 0.0000], [0.0000, 0.5000, 0.0000]]}

***

Entry 11:
{"formula": "RbMgSbSe3", "functional": "PBE-GGA", "state": "relaxed", "lattice_angstrom": [[-3.8846, -1.0220, -1.4296], [-1.4190, -5.5725, 7.8399], [-3.3567, 9.2889, 2.4804]], "species": ["Se", "Se", "Se", "Se", "Se", "Se", "Rb", "Rb", "Mg", "Mg", "Sb", "Sb"], "frac_coords": [[0.7500, 0.8577, 0.1305], [0.7500, 0.1848, 0.5109], [0.2500, 0.5572, 0.8609], [0.2500, 0.1423, 0.8695], [0.7500, 0.4428, 0.1391], [0.2500, 0.8152, 0.4891], [0.7500, 0.8094, 0.7729], [0.2500, 0.1906, 0.2271], [0.7500, 0.9058, 0.3946], [0.2500, 0.0942, 0.6054], [0.2500, 0.6566, 0.1294], [0.7500, 0.3434, 0.8706]]}

***

Entry 12:
{"formula": "Rb2MgSbSe4", "functional": "PBE-GGA", "state": "relaxed", "lattice_angstrom": [[6.5688, 0.0000, 0.0000], [3.2844, 7.4295, 0.0000], [3.2844, 0.0000, 12.3746]], "species": ["Se", "Se", "Se", "Se", "Se", "Se", "Se", "Se", "Mg", "Mg", "Rb", "Rb", "Rb", "Rb", "Sb", "Sb"], "frac_coords": [[0.5976, 0.2075, 0.1084], [0.1949, 0.2075, 0.8916], [0.9135, 0.7925, 0.8916], [0.4561, 0.7075, 0.3916], [0.5551, 0.2925, 0.6084], [0.1524, 0.2925, 0.3916], [0.8365, 0.7075, 0.6084], [0.2939, 0.7925, 0.1084], [0.0000, 0.0000, 0.0000], [0.7500, 0.5000, 0.5000], [0.8191, 0.0000, 0.3618], [0.9309, 0.5000, 0.1382], [0.1809, 0.0000, 0.6382], [0.5691, 0.5000, 0.8618], [0.5000, 0.0000, 0.0000], [0.2500, 0.5000, 0.5000]]}

***

Entry 13:
{"formula": "RbMgSnSb", "functional": "PBE-GGA", "state": "relaxed", "lattice_angstrom": [[3.9963, 0.0001, 0.0060], [0.0001, 3.9963, -0.0060], [-0.0135, 0.0135, 8.0337]], "species": ["Sn", "Mg", "Rb", "Sb"], "frac_coords": [[0.1463, 0.8537, 0.6538], [0.6467, 0.3533, 0.4585], [0.6460, 0.3540, 0.9781], [0.1461, 0.8539, 0.2984]]}

***

Entry 14:
{"formula": "RbMgSb2Te", "functional": "PBE-GGA", "state": "relaxed", "e_above_lowest_polymorph_mev_per_atom": 0, "lattice_angstrom": [[5.5134, 0.0000, 0.0000], [0.0000, 5.5134, 0.0000], [0.0000, 0.0000, 5.8224]], "species": ["Te", "Mg", "Sb", "Sb", "Rb"], "frac_coords": [[0.0000, 0.0000, 0.5000], [0.0000, 0.0000, 0.0000], [0.5000, 0.0000, 0.0000], [0.0000, 0.5000, 0.0000], [0.5000, 0.5000, 0.5000]]}

***

Entry 15:
{"formula": "RbMgSbTe2", "functional": "PBE-GGA", "state": "relaxed", "e_above_lowest_polymorph_mev_per_atom": 1179, "lattice_angstrom": [[-5.7193, -2.3923, 0.0512], [1.6636, -4.0708, -4.3700], [1.6749, -3.9126, 4.2823]], "species": ["Sb", "Te", "Te", "Mg", "Rb"], "frac_coords": [[0.0000, 0.0000, 0.5000], [0.0000, 0.5000, 0.0000], [0.5000, 0.0000, 0.0000], [0.5000, 0.5000, 0.5000], [0.0000, 0.0000, 0.0000]]}

***

Entry 16:
{"formula": "Rb3MgSb2Te6", "functional": "PBE-GGA", "state": "relaxed", "lattice_angstrom": [[7.7050, 0.0011, 0.0012], [-3.8497, 6.6743, 0.0012], [-1.2847, -2.2245, 8.6448]], "species": ["Te", "Te", "Te", "Te", "Te", "Te", "Rb", "Rb", "Rb", "Mg", "Sb", "Sb"], "frac_coords": [[0.9362, 0.6106, 0.8080], [0.6106, 0.9362, 0.8080], [0.7385, 0.7385, 0.1936], [0.0638, 0.3894, 0.1920], [0.2615, 0.2615, 0.8064], [0.3894, 0.0638, 0.1920], [0.1708, 0.8292, 0.5000], [0.8292, 0.1708, 0.5000], [0.5000, 0.5000, 0.5000], [0.0000, 0.0000, 0.0000], [0.6663, 0.3337, 0.0000], [0.3337, 0.6663, 0.0000]]}

***

Entry 17:
{"formula": "RbMgSbTe2", "functional": "PBE-GGA", "state": "relaxed", "e_above_lowest_polymorph_mev_per_atom": 0, "lattice_angstrom": [[-0.1010, -4.8751, -3.0361], [-0.1879, -3.0321, 4.8750], [-5.4412, 0.1754, -0.1007]], "species": ["Te", "Te", "Rb", "Sb", "Mg"], "frac_coords": [[0.5000, 0.0000, 0.0000], [0.0000, 0.5000, 0.0000], [0.5000, 0.5000, 0.5000], [0.0000, 0.0000, 0.5000], [0.0000, 0.0000, 0.0000]]}

***

Entry 18:
{"formula": "RbMgSb2Te", "functional": "PBE-GGA", "state": "relaxed", "e_above_lowest_polymorph_mev_per_atom": 1177, "lattice_angstrom": [[6.0458, 0.0000, 0.0000], [0.0000, 6.0458, 0.0000], [0.0000, 0.0000, 6.1482]], "species": ["Sb", "Sb", "Te", "Rb", "Mg"], "frac_coords": [[0.0000, 0.5000, 0.0000], [0.5000, 0.0000, 0.0000], [0.0000, 0.0000, 0.5000], [0.0000, 0.0000, 0.0000], [0.5000, 0.5000, 0.5000]]}

***

Entry 19:
{"formula": "Rb2MgTlSb2", "functional": "PBE-GGA", "state": "relaxed", "lattice_angstrom": [[-7.2015, 0.0042, 1.1005], [-0.3248, -6.9271, -2.0990], [4.9919, 0.9644, 8.5498]], "species": ["Sb", "Sb", "Sb", "Sb", "Rb", "Rb", "Rb", "Rb", "Tl", "Tl", "Mg", "Mg"], "frac_coords": [[0.3756, 0.5997, 0.1995], [0.8239, 0.0997, 0.1995], [0.1761, 0.9003, 0.8005], [0.6244, 0.4003, 0.8005], [0.4041, 0.1715, 0.3431], [0.5959, 0.8285, 0.6569], [0.9389, 0.6715, 0.3431], [0.0611, 0.3285, 0.6569], [0.0000, 0.7500, 0.0000], [0.0000, 0.2500, 0.0000], [0.5000, 0.2500, 0.0000], [0.5000, 0.7500, 0.0000]]}

***

Entry 20:
{"formula": "Rb2MgZrSb", "functional": "PBE-GGA", "state": "relaxed", "lattice_angstrom": [[7.1855, 0.0000, 0.0000], [0.0000, 5.2384, 0.0000], [0.0000, 0.0000, 7.1855]], "species": ["Rb", "Rb", "Zr", "Mg", "Sb"], "frac_coords": [[0.0000, 0.0000, 0.5000], [0.5000, 0.0000, 0.0000], [0.5000, 0.5000, 0.5000], [0.0000, 0.5000, 0.0000], [0.0000, 0.0000, 0.0000]]}

***

Number 1: ΔE_f (raw) 5.9 eV/f.u., spin magnetization 0.000 μB/cell, DFT total energy -0.785 eV/atom. Number 2: ΔE_f (raw) 0.7 eV/f.u., spin magnetization 0.000 μB/cell, DFT total energy -1.734 eV/atom. Number 3: ΔE_f (raw) 0.1 eV/f.u., spin magnetization 0.000 μB/cell, DFT total energy -1.899 eV/atom. Number 4: ΔE_f (raw) -1.7 eV/f.u., spin magnetization 0.000 μB/cell, DFT total energy -2.688 eV/atom. Number 5: ΔE_f (raw) -0.8 eV/f.u., spin magnetization 0.000 μB/cell, DFT total energy -2.903 eV/atom. Number 6: ΔE_f (raw) 1.1 eV/f.u., spin magnetization 0.000 μB/cell, DFT total energy -1.755 eV/atom. Number 7: ΔE_f (raw) 0.6 eV/f.u., spin magnetization 0.000 μB/cell, DFT total energy -2.874 eV/atom. Number 8: ΔE_f (raw) -3.7 eV/f.u., spin magnetization 0.000 μB/cell, DFT total energy -2.925 eV/atom. Number 9: ΔE_f (raw) 0.1 eV/f.u., spin magnetization 0.000 μB/cell, DFT total energy -2.052 eV/atom. Number 10: ΔE_f (raw) -0.5 eV/f.u., spin magnetization 1.000 μB/cell, DFT total energy -2.330 eV/atom. Number 11: ΔE_f (raw) -5.3 eV/f.u., spin magnetization 0.000 μB/cell, DFT total energy -3.737 eV/atom. Number 12: ΔE_f (raw) -6.5 eV/f.u., spin magnetization 1.080 μB/cell, DFT total energy -3.508 eV/atom. Number 13: ΔE_f (raw) -0.9 eV/f.u., spin magnetization 0.000 μB/cell, DFT total energy -2.901 eV/atom. Number 14: ΔE_f (raw) -0.1 eV/f.u., spin magnetization 0.000 μB/cell, DFT total energy -2.820 eV/atom. Number 15: ΔE_f (raw) 4.9 eV/f.u., spin magnetization 0.000 μB/cell, DFT total energy -1.612 eV/atom. Number 16: ΔE_f (raw) -7.1 eV/f.u., spin magnetization 0.000 μB/cell, DFT total energy -3.225 eV/atom. Number 17: ΔE_f (raw) -1.0 eV/f.u., spin magnetization 0.000 μB/cell, DFT total energy -2.790 eV/atom. Number 18: ΔE_f (raw) 5.7 eV/f.u., spin magnetization 0.000 μB/cell, DFT total energy -1.643 eV/atom. Number 19: ΔE_f (raw) -2.5 eV/f.u., spin magnetization 0.000 μB/cell, DFT total energy -2.773 eV/atom. Number 20: ΔE_f (raw) 4.1 eV/f.u., spin magnetization 2.891 μB/cell, DFT total energy -2.414 eV/atom.